This record from the Alexandria database describes a geometry-optimized MgGeBi2Ru structure. The functional is PBE.

Geometry as extended XYZ:
```
5
Lattice="5.4353 0.0000 0.0000 0.0000 4.7081 0.0000 0.0000 0.0000 5.4353" Properties=species:S:1:pos:R:3 pbc="T T T"
Ge 0.0000 2.3540 0.0000
Mg 2.7176 2.3540 2.7176
Bi 0.0000 0.0000 2.7176
Bi 2.7176 0.0000 0.0000
Ru 0.0000 0.0000 0.0000
```

Results
Space group   P4/mmm (123)
E_form   1.60 eV/f.u.

=====

This record from the Alexandria database describes a geometry-optimized NbIr4 structure. The functional is PBE.

Geometry as extended XYZ:
```
5
Lattice="-0.2618 3.8512 2.6611 -2.2193 -2.4489 3.3256 4.1216 -1.0739 1.9597" Properties=species:S:1:pos:R:3 pbc="T T T"
Ir 0.9512 -1.7614 2.6427
Ir 0.0000 0.0000 0.0000
Ir 1.9299 1.3886 2.3104
Ir -1.2406 0.7012 2.9934
Nb 0.8202 0.1642 3.9732
```

Results
ΔE to the lowest computed polymorph   227.1 kJ per mole of atoms
Space group   Pm-3m (221)
E_form   10.04 eV/f.u.